(1)
Material: UCo4Ni2
Method: DFT, PBE
State: relaxed

a = 4.9976 Å, b = 8.2931 Å, c = 4.4445 Å
α = 90.00°, β = 99.53°, γ = 90.00°
Closest atoms and distances in Å follow each position.
Space group C2/m (No. 12)
Symmetry-distinct sites (fractional):
U 0.0000 0.0000 0.0000 (multiplicity 2)  4 Co 2.42, 2 Ni 2.47
Co 0.0000 0.2264 0.5000 (multiplicity 4)  4 Co 2.37-2.53, 2 Ni 2.57
Co 0.2500 0.2500 0.0000 (multiplicity 4)  4 Co 2.37-2.50, 2 U 2.42, 2 Ni 2.57
Ni 0.1158 0.5000 0.2839 (multiplicity 4)  2 Ni 2.40-2.60, 1 U 2.47, 4 Co 2.57

## Properties
E_form: 0.071 eV per atom
E: -0.53319 Ry/atom
DOS at the Fermi energy: 9.12 states/eV/f.u.
calculated density: 10807 kg/m³
M_tot: 7.7 μB/cell

(2)
Material: UCo2Ni4
Method: DFT, PBE
State: relaxed

a = 6.5127 Å, b = 6.5205 Å, c = 9.3542 Å
α = 90.00°, β = 90.00°, γ = 90.00°
Closest atoms and distances in Å follow each position.
Space group Fmmm (No. 69)
Symmetry-distinct sites (fractional):
U 0.0000 0.0000 0.0000 (multiplicity 4)  4 Ni 2.30
Co 0.0000 0.0000 0.3752 (multiplicity 8)  1 Co 2.33, 8 Ni 2.58
Ni 0.2500 0.2500 0.0000 (multiplicity 8)  2 U 2.30, 2 Ni 2.34
Ni 0.2500 0.2500 0.2500 (multiplicity 8)  2 Ni 2.34, 4 Co 2.58

## Properties
E_form: 0.358 eV per atom
E: -0.48423 Ry/atom
DOS at the Fermi energy: 11.04 states/eV/f.u.
calculated density: 9876 kg/m³
M_tot: 21.8 μB/cell